Record 1
VASP calculation (meta-GGA SCAN) on a PBEsol-optimized structure of Ti2InPt2.

```
5
Lattice="-0.7665 2.4792 -3.3757 -4.0518 -1.3078 -0.0405 1.1227 3.3026 4.8559" Properties=species:S:1:pos:R:3 pbc="T T T"
Ti -2.6692 1.2903 1.5537
Ti -1.0265 3.1838 -0.1139
Pt -0.9703 2.9328 2.3742
Pt -2.7253 1.5413 -0.9345
In 0.0000 0.0000 0.0000
```

Results
As for the uncorrected energy: -209.674 eV for the cell shown. The density of states at the Fermi level comes out at 0.72 states/eV per atom. As for the energy of formation: -768 meV/atom. As for the crystal system: tetragonal.



Record 2
VASP calculation (meta-GGA SCAN) on a PBEsol-optimized structure of KCoNi2.

```
4
Lattice="2.6223 0.0000 0.0000 0.0000 3.1553 0.0000 0.0000 0.0000 7.4864" Properties=species:S:1:pos:R:3 pbc="T T T"
Co 1.3112 1.5776 0.0000
K 1.3112 1.5776 3.7432
Ni 0.0000 0.0000 6.2617
Ni 0.0000 0.0000 1.2247
```

Results
As for the uncorrected energy: -55.729 eV for the cell shown. The density of states at the Fermi level comes out at 0.80 states/eV per atom. As for the energy of formation: 563 meV/atom. The energy above the lowest structure with this stoichiometry comes out at 0 meV/atom. As for the crystal system: orthorhombic.